(1)
A geometry-optimized NdDy7Y3 structure. Source: Alexandria, functional PBE.

Unit cell a=5.5616 b=9.9157 c=8.9409 alpha=105.76 beta=128.47 gamma=90.00
Sites, in units of the cell vectors:
Nd  0.5000  0.5000  0.5000
Dy  0.9202  0.8315  0.9201
Dy  0.8531  0.7085  0.3530
Dy  0.6757  0.3568  0.1757
Dy  0.3243  0.6432  0.8243
Dy  0.5000  0.0000  0.5000
Dy  0.1469  0.2915  0.6470
Dy  0.0798  0.1685  0.0799
Y  0.2773  0.9984  0.7775
Y  0.0000  0.5000  0.0000
Y  0.7227  0.0016  0.2225

Values from the calculation:
As for the energy relative to the lowest polymorph listed for this composition: 0 meV/atom. For the raw total energy, the calculation gives -54.73 eV for the cell shown.

=====

(2)
A geometry-optimized ZnGaHg3 structure. Source: Alexandria, functional PBE.

Unit cell a=5.3707 b=5.3707 c=5.3707 alpha=90.00 beta=90.00 gamma=90.00
Sites, in units of the cell vectors:
Zn  0.5000  0.5000  0.5000
Hg  0.0000  0.5000  0.0000
Hg  0.0000  0.0000  0.5000
Hg  0.5000  0.0000  0.0000
Ga  0.0000  0.0000  0.0000

Values from the calculation:
As for the energy relative to the lowest polymorph listed for this composition: 0 meV/atom. For the raw total energy, the calculation gives -4.09 eV for the cell shown.

=====

(3)
A geometry-optimized Bi2C2ClO6 structure. Source: Alexandria, functional PBE.

Unit cell a=5.8118 b=6.4187 c=6.5292 alpha=125.00 beta=90.86 gamma=73.49
Sites, in units of the cell vectors:
Bi  0.7955  0.3255  0.7304
Bi  0.2045  0.6745  0.2696
C  0.1843  0.6676  0.8191
C  0.8157  0.3324  0.1809
Cl  0.5000  0.0000  0.5000
O  0.3740  0.6781  0.9341
O  0.0031  0.3319  0.0669
O  0.1786  0.6614  0.6239
O  0.9969  0.6681  0.9331
O  0.8214  0.3386  0.3761
O  0.6260  0.3219  0.0659

Values from the calculation:
For the raw total energy, the calculation gives -70.27 eV for the cell shown.

=====

(4)
A geometry-optimized LiZrSc2 structure. Source: Alexandria, functional PBE.

Unit cell a=3.2870 b=5.3431 c=5.0776 alpha=90.00 beta=90.00 gamma=90.00
Sites, in units of the cell vectors:
Li  0.0000  0.5000  0.5000
Sc  0.0000  0.0000  0.0000
Sc  0.5000  0.5000  0.0000
Zr  0.5000  0.0000  0.5000

Values from the calculation:
As for the energy relative to the lowest polymorph listed for this composition: 167 meV/atom. For the raw total energy, the calculation gives -22.25 eV for the cell shown.

=====

Q: Which of these has the lowest raw total energy?
A: Bi2C2ClO6

=====

Please write out number 4 again, unchanged.
A geometry-optimized LiZrSc2 structure. Source: Alexandria, functional PBE.

Unit cell a=3.2870 b=5.3431 c=5.0776 alpha=90.00 beta=90.00 gamma=90.00
Sites, in units of the cell vectors:
Li  0.0000  0.5000  0.5000
Sc  0.0000  0.0000  0.0000
Sc  0.5000  0.5000  0.0000
Zr  0.5000  0.0000  0.5000

Values from the calculation:
As for the energy relative to the lowest polymorph listed for this composition: 167 meV/atom. For the raw total energy, the calculation gives -22.25 eV for the cell shown.

=====

What did the first record say?
A geometry-optimized NdDy7Y3 structure. Source: Alexandria, functional PBE.

Unit cell a=5.5616 b=9.9157 c=8.9409 alpha=105.76 beta=128.47 gamma=90.00
Sites, in units of the cell vectors:
Nd  0.5000  0.5000  0.5000
Dy  0.9202  0.8315  0.9201
Dy  0.8531  0.7085  0.3530
Dy  0.6757  0.3568  0.1757
Dy  0.3243  0.6432  0.8243
Dy  0.5000  0.0000  0.5000
Dy  0.1469  0.2915  0.6470
Dy  0.0798  0.1685  0.0799
Y  0.2773  0.9984  0.7775
Y  0.0000  0.5000  0.0000
Y  0.7227  0.0016  0.2225

Values from the calculation:
As for the energy relative to the lowest polymorph listed for this composition: 0 meV/atom. For the raw total energy, the calculation gives -54.73 eV for the cell shown.

=====

Q: Look up the raw total energy of the fourth one.
A: -22.25 eV for the cell shown